Crystalline MnPbO3 at its relaxed geometry, computed with GGA+U.

For the uncorrected energy, the calculation gives -6.43 eV/atom. The size of the total moment is 35.94 μB per cell.

The space group is C2/c (No. 15) and the conventional cell measures 5.641, 9.658 and 13.835 Å, with angles of 90.00, 91.91 and 90.00 degrees. The inequivalent atoms are Mn at (0.000, 0.000, 0.000), Mn at (0.022, 0.334, 0.154), Pb at (0.000, 0.016, 0.250), Pb at (0.007, 0.328, 0.593), O at (0.000, 0.485, 0.250), O at (0.072, 0.159, 0.087), O at (0.187, 0.089, 0.899), O at (0.193, 0.405, 0.444) and O at (0.221, 0.258, 0.267).